Record 1
DFT (PBE-GGA) results for Sc2ReO6 after structural relaxation.

Values from the calculation:
formation energy from raw total energies: -2.61 eV/atom
energy above the most stable polymorph in this dataset: 0.000 eV per atom
symmetry: No. 136

Unit cell a=4.782 b=4.782 c=9.470 alpha=90.00 beta=90.00 gamma=90.00
Element x y z (fractional)
Sc 0.000 0.000 0.329
Sc 0.500 0.500 0.829
Sc 0.500 0.500 0.171
Sc 0.000 0.000 0.671
Re 0.000 0.000 0.000
Re 0.500 0.500 0.500
O 0.308 0.308 0.345
O 0.692 0.692 0.345
O 0.192 0.808 0.845
O 0.808 0.192 0.845
O 0.192 0.808 0.155
O 0.808 0.192 0.155
O 0.308 0.308 0.655
O 0.692 0.692 0.655
O 0.281 0.281 0.000
O 0.719 0.719 0.000
O 0.219 0.781 0.500
O 0.781 0.219 0.500

***

Record 2
DFT (PBE-GGA) results for SmSc7Tl4 after structural relaxation.

Values from the calculation:
ΔE_f: 23.6 meV/atom
symmetry: No. 12

Unit cell a=5.353 b=9.222 c=7.081 alpha=79.95 beta=67.79 gamma=73.13
Element x y z (fractional)
Sm 0.000 0.000 0.000
Sc 0.782 0.880 0.555
Sc 0.218 0.120 0.445
Sc 0.055 0.621 0.269
Sc 0.945 0.379 0.731
Sc 0.334 0.591 0.741
Sc 0.500 0.000 0.000
Sc 0.666 0.409 0.259
Tl 0.581 0.213 0.625
Tl 0.419 0.787 0.375
Tl 0.697 0.674 0.932
Tl 0.303 0.326 0.068

***

Record 3
DFT (PBE-GGA) results for YRhBr2 after structural relaxation.

Values from the calculation:
formation energy from raw total energies: -0.50 eV/atom
energy above the most stable polymorph in this dataset: 0.527 eV per atom
symmetry: No. 119

Unit cell a=5.796 b=5.796 c=5.796 alpha=138.33 beta=138.33 gamma=60.40
Element x y z (fractional)
Y 0.750 0.250 0.500
Rh 0.500 0.500 0.000
Br 0.000 0.000 0.000
Br 0.250 0.750 0.500

***

Number 1: energy -78.3 eV/f.u.. Number 2: energy -58.2 eV/f.u.. Number 3: energy -19.2 eV/f.u..